# 1
VASP calculation (PBE-GGA) on an optimized crystal structure of SrNpSiO5.

Summary:
mass density = 5.94 g/cm3
energy = -8.571 eV per atom

CIF file:
```
data_SrNpSiO5
_cell_length_a 7.0532
_cell_length_b 9.5512
_cell_length_c 7.7162
_cell_angle_alpha 90.00
_cell_angle_beta 111.45
_cell_angle_gamma 90.00
_symmetry_space_group_name_H-M 'C 1 2/c 1'
_symmetry_Int_Tables_number 15
_symmetry_space_group_name_Hall '-C 2yc'
loop_
_atom_site_label
_atom_site_type_symbol
_atom_site_fract_x
_atom_site_fract_y
_atom_site_fract_z
Sr1 Sr 0.0000 0.1591 0.2500
Np1 Np 0.0000 0.5000 0.0000
Si1 Si 0.0000 0.1810 0.7500
O1 O 0.0000 0.4128 0.2500
O2 O 0.1060 0.2817 0.6342
O3 O 0.1665 0.0740 0.8994
```

# 2
VASP calculation (PBE-GGA) on an optimized crystal structure of NpTlSi2O8.

Summary:
mass density = 5.87 g/cm3
energy = -7.766 eV per atom

CIF file:
```
data_NpTlSi2O8
_cell_length_a 8.5242
_cell_length_b 5.6901
_cell_length_c 7.3266
_cell_angle_alpha 90.00
_cell_angle_beta 94.89
_cell_angle_gamma 90.00
_symmetry_space_group_name_H-M 'C 1 2/m 1'
_symmetry_Int_Tables_number 12
_symmetry_space_group_name_Hall '-C 2y'
loop_
_atom_site_label
_atom_site_type_symbol
_atom_site_fract_x
_atom_site_fract_y
_atom_site_fract_z
Np1 Np 0.0000 0.0000 0.0000
Tl1 Tl 0.0000 0.0000 0.5000
Si1 Si 0.1599 0.5000 0.2409
O1 O 0.0491 0.2617 0.2217
O2 O 0.2280 0.0000 0.9332
O3 O 0.2378 0.0000 0.5603
```